[1]
VASP calculation (GGA-PBE) on an optimized crystal structure of Tb2YHo.

a b c (Å): 3.5532 3.5532 10.0589
angles (deg): 90.00 90.00 90.00
With the nearest neighbours (Å) after each atom.
Sites, in units of the cell vectors:
Tb: 0.0000 0.0000 0.2480  4 Ho 3.54, 4 Tb 3.55, 4 Y 3.57
Tb: 0.0000 0.0000 0.7520  4 Ho 3.54, 4 Tb 3.55, 4 Y 3.57
Y: 0.5000 0.5000 0.5000  4 Y 3.55, 8 Tb 3.57
Ho: 0.5000 0.5000 0.0000  8 Tb 3.54, 4 Ho 3.55

Results
Formation enthalpy at 0 K: 0.02 eV per atom
E above lowest polymorph: 0.28 kcal/mol of atoms

---

[2]
VASP calculation (GGA-PBE) on an optimized crystal structure of BaTm3Cu.

a b c (Å): 5.4661 5.4661 5.4661
angles (deg): 90.00 90.00 90.00
With the nearest neighbours (Å) after each atom.
Sites, in units of the cell vectors:
Tm: 0.5000 0.0000 0.0000  2 Cu 2.73
Tm: 0.0000 0.0000 0.5000  2 Cu 2.73
Tm: 0.0000 0.5000 0.0000  2 Cu 2.73
Ba: 0.5000 0.5000 0.5000  12 Tm 3.87
Cu: 0.0000 0.0000 0.0000  6 Tm 2.73

Results
Formation enthalpy at 0 K: 0.10 eV per atom

---

[3]
VASP calculation (GGA-PBE) on an optimized crystal structure of SiRh2Se.

a b c (Å): 6.6798 6.6798 6.6798
angles (deg): 150.54 154.11 39.62
With the nearest neighbours (Å) after each atom.
Sites, in units of the cell vectors:
Se: 0.5446 0.5446 0.0000  6 Rh 2.68-2.73, 2 Se 2.99
Rh: 0.2260 0.7260 0.5000  4 Si 2.44, 2 Se 2.73
Rh: 0.9304 0.9304 0.0000  2 Si 2.37
Si: 0.7989 0.2989 0.5000  6 Rh 2.37-2.44

Results
E above lowest polymorph: 2.21 kcal/mol of atoms
Formation energy without anion corrections: -0.381 eV/atom

---

[4]
VASP calculation (GGA-PBE) on an optimized crystal structure of NpS2Br.

a b c (Å): 5.1524 5.1524 7.7490
angles (deg): 89.25 89.23 41.89
With the nearest neighbours (Å) after each atom.
Sites, in units of the cell vectors:
Np: 0.1437 0.1436 0.4237  5 S 2.57-2.87
Br: 0.5697 0.5702 0.6991  2 Np 2.90
S: 0.5698 0.5694 0.2126  2 Np 2.57
S: 0.8451 0.8451 0.4366  3 Np 2.68-2.87

Results
E above lowest polymorph: 0.92 kcal/mol of atoms
Formation energy without anion corrections: -0.873 eV/atom

---

[5]
VASP calculation (GGA-PBE) on an optimized crystal structure of NaCa2Hg.

a b c (Å): 3.8460 3.8460 8.8242
angles (deg): 90.00 90.00 90.00
With the nearest neighbours (Å) after each atom.
Sites, in units of the cell vectors:
Hg: 0.5000 0.5000 0.0000  8 Ca 3.26
Na: 0.5000 0.5000 0.5000  8 Ca 3.77, 4 Na 3.85
Ca: 0.0000 0.0000 0.7962  4 Hg 3.26, 1 Ca 3.60
Ca: 0.0000 0.0000 0.2038  4 Hg 3.26, 1 Ca 3.60

Results
Formation enthalpy at 0 K: -0.27 eV per atom

---

[6]
VASP calculation (GGA-PBE) on an optimized crystal structure of Nd2Cd16Au.

a b c (Å): 7.6542 7.6542 7.6542
angles (deg): 82.12 82.12 82.12
With the nearest neighbours (Å) after each atom.
Sites, in units of the cell vectors:
Cd: 0.7028 0.0002 0.2992  8 Cd 2.91-3.20
Cd: 0.0002 0.2992 0.7028  8 Cd 2.91-3.20
Cd: 0.0024 0.0024 0.5013  9 Cd 2.91-3.12, 1 Au 3.01
Cd: 0.5013 0.0024 0.0024  9 Cd 2.91-3.12, 1 Au 3.01
Cd: 0.6433 0.6433 0.1573  8 Cd 2.85-3.18, 1 Au 3.17
Cd: 0.0024 0.5013 0.0024  9 Cd 2.91-3.12, 1 Au 3.01
Cd: 0.3627 0.3627 0.8362  6 Cd 2.85-2.99
Cd: 0.0919 0.0919 0.0919  1 Au 3.07, 12 Cd 3.12-3.37
Cd: 0.0002 0.7028 0.2992  8 Cd 2.91-3.20
Cd: 0.8362 0.3627 0.3627  6 Cd 2.85-2.99
Cd: 0.2992 0.7028 0.0002  8 Cd 2.91-3.20
Cd: 0.7028 0.2992 0.0002  8 Cd 2.91-3.20
Cd: 0.6433 0.1573 0.6433  8 Cd 2.85-3.18, 1 Au 3.17
Cd: 0.1573 0.6433 0.6433  8 Cd 2.85-3.18, 1 Au 3.17
Cd: 0.3627 0.8362 0.3627  6 Cd 2.85-2.99
Cd: 0.2992 0.0002 0.7028  8 Cd 2.91-3.20
Nd: 0.3316 0.3316 0.3316  19 Cd 3.55-3.94
Nd: 0.6739 0.6739 0.6739  1 Au 3.18, 6 Cd 3.54
Au: 0.8867 0.8867 0.8867  7 Cd 3.01-3.17, 1 Nd 3.18

Results
Formation enthalpy at 0 K: -0.17 eV per atom